Material: Co2TeP
Method: DFT, PBE
State: relaxed

Lattice parameters (Å, degrees): 4.828 4.828 6.999 69.82 69.82 90.00
Element x y z (fractional)
Co 0.553 0.125 0.250
Co 0.197 0.625 0.250
Co 0.375 0.447 0.750
Co 0.875 0.803 0.750
Te 0.750 0.250 0.500
Te 0.000 0.000 0.000
P 0.500 0.500 0.000
P 0.250 0.750 0.500

Calculated values
total DFT energy (no corrections) = -46.0 eV/cell
ΔE_f (raw) = -0.055 eV per atom
space group = I-42d, No. 122